Record 1
Material: Ca2Sn3Rh4Pb
Method: DFT, PBE
State: optimized geometry

Cell and atoms, written as POSCAR:
```
Ca2Sn3Rh4Pb
1.0
4.5303 0.0000 0.0000
0.0000 4.5303 0.0000
0.0000 0.0000 10.8350
Rh Ca Sn Pb
4 2 3 1
Direct
0.5000 0.5000 0.0000 Rh
0.0000 0.5000 0.3633 Rh
0.5000 0.0000 0.6367 Rh
0.0000 0.0000 0.0000 Rh
0.0000 0.5000 0.7625 Ca
0.5000 0.0000 0.2375 Ca
0.5000 0.0000 0.8747 Sn
0.0000 0.5000 0.1253 Sn
0.0000 0.0000 0.5000 Sn
0.5000 0.5000 0.5000 Pb
```

Output
ΔH_f (0 K) in eV per atom: -0.533

---

Record 2
Material: SrCa2RhPb
Method: DFT, PBE
State: optimized geometry

Cell and atoms, written as POSCAR:
```
SrCa2RhPb
1.0
-4.4301 -1.0745 2.9443
-2.3681 -2.1920 -4.3630
2.1792 -5.1442 1.4016
Pb Rh Ca Sr
1 1 2 1
Direct
0.5000 0.5000 0.5000 Pb
0.0000 0.0000 0.0000 Rh
0.5000 0.0000 0.0000 Ca
0.0000 0.5000 0.0000 Ca
0.0000 0.0000 0.5000 Sr
```

Output
ΔH_f (0 K) in eV per atom: -0.273
Relative energy among the computed polymorphs in meV per atom: 47

---

Record 3
Material: Sr2CaRhPb
Method: DFT, PBE
State: optimized geometry

Cell and atoms, written as POSCAR:
```
Sr2CaRhPb
1.0
5.7566 0.0000 0.0000
0.0000 5.7566 0.0000
0.0000 0.0000 5.4117
Rh Sr Ca Pb
1 2 1 1
Direct
0.0000 0.0000 0.0000 Rh
0.5000 0.0000 0.0000 Sr
0.0000 0.5000 0.0000 Sr
0.0000 0.0000 0.5000 Ca
0.5000 0.5000 0.5000 Pb
```

Output
ΔH_f (0 K) in eV per atom: -0.255
Relative energy among the computed polymorphs in meV per atom: 0

---

Record 4
Material: SrCaRhPb2
Method: DFT, PBE
State: optimized geometry

Cell and atoms, written as POSCAR:
```
SrCaRhPb2
1.0
5.4369 0.0000 0.0000
0.0000 5.4369 0.0000
0.0000 0.0000 5.2478
Pb Ca Sr Rh
2 1 1 1
Direct
0.5000 0.0000 0.0000 Pb
0.0000 0.5000 0.0000 Pb
0.0000 0.0000 0.5000 Ca
0.5000 0.5000 0.5000 Sr
0.0000 0.0000 0.0000 Rh
```

Output
ΔH_f (0 K) in eV per atom: -0.297

---

Record 5
Material: SrCa2RhPb
Method: DFT, PBE
State: optimized geometry

Cell and atoms, written as POSCAR:
```
SrCa2RhPb
1.0
-5.1771 -0.3404 -1.8126
-1.4029 -2.7790 4.5290
-1.1736 4.6364 2.4813
Pb Sr Ca Rh
1 1 2 1
Direct
0.0000 0.0000 0.5000 Pb
0.5000 0.5000 0.5000 Sr
0.5000 0.0000 0.0000 Ca
0.0000 0.5000 0.0000 Ca
0.0000 0.0000 0.0000 Rh
```

Output
ΔH_f (0 K) in eV per atom: -0.320
Relative energy among the computed polymorphs in meV per atom: 0

---

Record 6
Material: Sr2CaRhPb
Method: DFT, PBE
State: optimized geometry

Cell and atoms, written as POSCAR:
```
Sr2CaRhPb
1.0
6.4305 0.0000 0.0000
0.0000 4.6981 0.0000
0.0000 0.0000 6.4305
Sr Pb Rh Ca
2 1 1 1
Direct
0.0000 0.0000 0.5000 Sr
0.5000 0.0000 0.0000 Sr
0.5000 0.5000 0.5000 Pb
0.0000 0.5000 0.0000 Rh
0.0000 0.0000 0.0000 Ca
```

Output
ΔH_f (0 K) in eV per atom: 0.457
Relative energy among the computed polymorphs in meV per atom: 712

---

Record 7
Material: Ca2TeRhPb
Method: DFT, PBE
State: optimized geometry

Cell and atoms, written as POSCAR:
```
Ca2TeRhPb
1.0
5.4773 0.0000 0.0000
0.0000 5.4773 0.0000
0.0000 0.0000 5.1113
Te Pb Ca Rh
1 1 2 1
Direct
0.5000 0.5000 0.5000 Te
0.0000 0.0000 0.5000 Pb
0.0000 0.5000 0.0000 Ca
0.5000 0.0000 0.0000 Ca
0.0000 0.0000 0.0000 Rh
```

Output
Raw total energy in eV for the cell shown: -21.26

---

Record 8
Material: Ca2TlRhPb
Method: DFT, PBE
State: optimized geometry

Cell and atoms, written as POSCAR:
```
Ca2TlRhPb
1.0
-0.3672 -1.4591 5.2544
5.1567 0.4750 0.4923
-0.6179 5.2435 1.4129
Pb Rh Tl Ca
1 1 1 2
Direct
0.0000 0.5000 0.0000 Pb
0.0000 0.0000 0.0000 Rh
0.5000 0.5000 0.5000 Tl
0.5000 0.0000 0.0000 Ca
0.0000 0.0000 0.5000 Ca
```

Output
ΔH_f (0 K) in eV per atom: -0.318

---

Record 9
Material: CaTlRhPb2
Method: DFT, PBE
State: optimized geometry

Cell and atoms, written as POSCAR:
```
CaTlRhPb2
1.0
5.2975 0.0000 0.0000
0.0000 5.2975 0.0000
0.0000 0.0000 5.3771
Pb Ca Rh Tl
2 1 1 1
Direct
0.5000 0.0000 0.0000 Pb
0.0000 0.5000 0.0000 Pb
0.0000 0.0000 0.5000 Ca
0.0000 0.0000 0.0000 Rh
0.5000 0.5000 0.5000 Tl
```

Output
ΔH_f (0 K) in eV per atom: -0.171

---

Record 10
Material: CaTlRhPb
Method: DFT, PBE
State: optimized geometry

Cell and atoms, written as POSCAR:
```
CaTlRhPb
1.0
-0.6508 0.4887 4.9471
3.9338 -0.3305 3.0907
1.6858 4.0906 2.3582
Ca Tl Rh Pb
1 1 1 1
Direct
0.2500 0.2500 0.2500 Ca
0.0000 0.0000 0.0000 Tl
0.7500 0.7500 0.7500 Rh
0.5000 0.5000 0.5000 Pb
```

Output
ΔH_f (0 K) in eV per atom: -0.192

---

Record 11
Material: CaTmRhPb
Method: DFT, PBE
State: optimized geometry

Cell and atoms, written as POSCAR:
```
CaTmRhPb
1.0
5.1193 0.0000 0.0000
2.5597 4.4335 0.0000
2.5597 1.4778 4.1799
Tm Pb Ca Rh
1 1 1 1
Direct
0.2500 0.2500 0.2500 Tm
0.5000 0.5000 0.5000 Pb
0.7500 0.7500 0.7500 Ca
0.0000 0.0000 0.0000 Rh
```

Output
ΔH_f (0 K) in eV per atom: -0.441

---

Record 12
Material: CaY2RhPb
Method: DFT, PBE
State: optimized geometry

Cell and atoms, written as POSCAR:
```
CaY2RhPb
1.0
5.3391 0.0000 0.0000
0.0000 5.3391 0.0000
0.0000 0.0000 5.3802
Rh Pb Ca Y
1 1 1 2
Direct
0.0000 0.0000 0.0000 Rh
0.5000 0.5000 0.5000 Pb
0.0000 0.0000 0.5000 Ca
0.5000 0.0000 0.0000 Y
0.0000 0.5000 0.0000 Y
```

Output
ΔH_f (0 K) in eV per atom: -0.391